# 1
Entry from Alexandria: a relaxed PrZn5Cd7 crystal (GGA-PBE).

Cell: 5.6591 7.3379 7.3379 Å, 81.00 67.32 67.32°
Closest atoms and distances in Å follow each position.
Sites, in units of the cell vectors:
Cd 0.5010 0.7889 0.2092  5 Zn 2.78-2.92, 1 Cd 2.93
Cd 0.9976 0.3497 0.6551  5 Zn 2.91-3.03, 4 Cd 2.91-3.12
Cd 0.2786 0.2214 0.2214  4 Zn 2.86, 6 Cd 2.93-3.07
Cd 0.3493 0.6507 0.6507  6 Zn 2.87-3.09, 3 Cd 2.94-3.12
Cd 0.6555 0.3445 0.3445  5 Cd 2.94-3.14, 4 Zn 2.98
Cd 0.5010 0.2092 0.7889  5 Zn 2.78-2.92, 1 Cd 2.93
Cd 0.9976 0.6551 0.3497  5 Zn 2.91-3.03, 4 Cd 2.91-3.12
Zn 0.9977 0.9930 0.5100  3 Zn 2.71-2.84, 7 Cd 2.78-2.98
Zn 0.4993 0.9930 0.5100  3 Zn 2.71-2.84, 7 Cd 2.78-2.98
Zn 0.4993 0.5100 0.9930  3 Zn 2.71-2.84, 7 Cd 2.78-2.98
Zn 0.9977 0.5100 0.9930  3 Zn 2.71-2.84, 7 Cd 2.78-2.98
Zn 0.7215 0.7785 0.7785  4 Zn 2.71, 4 Cd 2.92-3.03
Pr 0.0040 0.9960 0.9960  10 Cd 3.31-3.56, 6 Zn 3.52-3.58

Output
* calculated volume: 259.4 Å³ per cell
* DFT formation energy: -136 meV per atom
* symmetry: Imm2 (44)
* M_tot: 0.000 Bohr magnetons per cell

---

# 2
Entry from Alexandria: a relaxed Pr2Zn2Cd3 crystal (GGA-PBE).

Cell: 3.5227 4.5297 10.9515 Å, 101.94 90.00 90.00°
Closest atoms and distances in Å follow each position.
Sites, in units of the cell vectors:
Zn 0.5000 0.7185 0.4369  2 Zn 2.64
Zn 0.5000 0.2815 0.5631  2 Zn 2.64
Cd 0.5000 0.5717 0.1434  5 Cd 3.07-3.25, 1 Zn 3.15
Cd 0.5000 0.4283 0.8566  5 Cd 3.07-3.25, 1 Zn 3.15
Cd 0.0000 0.0000 0.0000  10 Cd 3.25-3.52, 2 Pr 3.45
Pr 0.0000 0.1610 0.3220  6 Zn 3.12-3.13, 5 Cd 3.45
Pr 0.0000 0.8390 0.6780  6 Zn 3.12-3.13, 5 Cd 3.45

Output
* calculated volume: 171.0 Å³ per cell
* DFT formation energy: -235 meV per atom
* symmetry: Cmmm (65)
* ΔE to the lowest computed polymorph: 0.48 eV per formula unit
* M_tot: 0.402 Bohr magnetons per cell

---

# 3
Entry from Alexandria: a relaxed Pr5Zn2Cd crystal (GGA-PBE).

Cell: 8.6483 8.6483 8.7685 Å, 119.55 119.55 90.00°
Closest atoms and distances in Å follow each position.
Sites, in units of the cell vectors:
Pr 0.9940 0.4940 0.2914  3 Zn 3.09-3.15
Pr 0.7025 0.2025 0.7086  3 Zn 3.09-3.15
Pr 0.4940 0.2975 0.2914  3 Zn 3.09-3.15
Pr 0.0060 0.5060 0.7086  3 Zn 3.09-3.15
Pr 0.5000 0.5000 0.0000  2 Cd 3.14, 4 Zn 3.32
Pr 0.2975 0.7975 0.2914  3 Zn 3.09-3.15
Pr 0.2025 0.0060 0.7086  3 Zn 3.09-3.15
Pr 0.5060 0.7025 0.7086  3 Zn 3.09-3.15
Pr 0.0000 0.0000 0.0000  2 Cd 3.14, 4 Zn 3.32
Pr 0.7975 0.9940 0.2914  3 Zn 3.09-3.15
Cd 0.2500 0.2500 0.5000  2 Pr 3.14
Cd 0.7500 0.7500 0.5000  2 Pr 3.14
Zn 0.3553 0.8553 0.0000  8 Pr 3.09-3.32
Zn 0.1447 0.3553 0.0000  8 Pr 3.09-3.32
Zn 0.6447 0.1447 0.0000  8 Pr 3.09-3.32
Zn 0.8553 0.6447 0.0000  8 Pr 3.09-3.32

Output
* calculated volume: 470.0 Å³ per cell
* DFT formation energy: -210 meV per atom
* symmetry: I4/mcm (140)
* M_tot: 0.001 Bohr magnetons per cell

---

# 4
Entry from Alexandria: a relaxed Pr2Zn3Cd6 crystal (GGA-PBE).

Cell: 4.4776 8.1509 8.1509 Å, 120.00 90.00 90.00°
Closest atoms and distances in Å follow each position.
Sites, in units of the cell vectors:
Pr 0.0000 0.3333 0.6667  9 Cd 3.36-3.67, 6 Zn 3.37
Pr 0.0000 0.6667 0.3333  9 Cd 3.36-3.67, 6 Zn 3.37
Cd 0.5000 0.2910 0.0000  3 Zn 2.62-2.85
Cd 0.5000 0.0000 0.2910  3 Zn 2.62-2.85
Cd 0.5000 0.7090 0.7090  3 Zn 2.62-2.85
Cd 0.0000 0.0000 0.7938  2 Zn 2.69, 2 Cd 2.91
Cd 0.0000 0.7938 0.0000  2 Zn 2.69, 2 Cd 2.91
Cd 0.0000 0.2062 0.2062  2 Zn 2.69, 2 Cd 2.91
Zn 0.5000 0.0000 0.6118  5 Cd 2.62-2.85
Zn 0.5000 0.6118 0.0000  5 Cd 2.62-2.85
Zn 0.5000 0.3882 0.3882  5 Cd 2.62-2.85

Output
* calculated volume: 257.6 Å³ per cell
* DFT formation energy: -212 meV per atom
* symmetry: P-62m (189)
* M_tot: 0.000 Bohr magnetons per cell

---

# 5
Entry from Alexandria: a relaxed PrZn6Cd6 crystal (GGA-PBE).

Cell: 5.6113 7.2631 7.2631 Å, 82.16 67.28 67.28°
Closest atoms and distances in Å follow each position.
Sites, in units of the cell vectors:
Cd 0.0000 0.3464 0.6536  6 Zn 2.89-3.03, 3 Cd 2.93-3.17
Cd 0.0000 0.6536 0.3464  6 Zn 2.89-3.03, 3 Cd 2.93-3.17
Cd 0.2985 0.2015 0.2015  6 Zn 2.81-2.87, 2 Cd 3.13
Cd 0.3480 0.6520 0.6520  3 Cd 2.86-3.13, 6 Zn 2.92-2.98
Cd 0.6520 0.3480 0.3480  3 Cd 2.86-3.13, 6 Zn 2.92-2.98
Cd 0.7015 0.7985 0.7985  6 Zn 2.81-2.87, 2 Cd 3.13
Pr 0.0000 0.0000 0.0000  8 Cd 3.27-3.39, 12 Zn 3.54-3.63
Zn 0.5000 0.5000 0.0000  4 Zn 2.75-2.81, 6 Cd 2.81-2.92
Zn 0.5000 0.7746 0.2254  4 Zn 2.75, 6 Cd 2.87-3.03
Zn 0.5000 0.0000 0.5000  4 Zn 2.75-2.81, 6 Cd 2.81-2.92
Zn 0.0000 0.5000 0.0000  4 Zn 2.75-2.81, 6 Cd 2.81-2.92
Zn 0.0000 0.0000 0.5000  4 Zn 2.75-2.81, 6 Cd 2.81-2.92
Zn 0.5000 0.2254 0.7746  4 Zn 2.75, 6 Cd 2.87-3.03

Output
* calculated volume: 251.8 Å³ per cell
* DFT formation energy: -139 meV per atom
* symmetry: Immm (71)
* M_tot: 0.000 Bohr magnetons per cell

---

# 6
Entry from Alexandria: a relaxed PrZn2Cd2 crystal (GGA-PBE).

Cell: 4.3808 4.3808 6.5731 Å, 109.47 109.47 90.00°
Closest atoms and distances in Å follow each position.
Sites, in units of the cell vectors:
Cd 0.7500 0.2500 0.5000  4 Zn 2.76
Cd 0.2500 0.7500 0.5000  4 Zn 2.76
Zn 0.6052 0.6052 0.2104  1 Zn 2.44
Zn 0.3948 0.3948 0.7896  1 Zn 2.44
Pr 0.0000 0.0000 0.0000  8 Zn 3.33, 8 Cd 3.63

Output
* calculated volume: 111.3 Å³ per cell
* DFT formation energy: -280 meV per atom
* symmetry: I4/mmm (139)
* M_tot: 0.000 Bohr magnetons per cell

---

# 7
Entry from Alexandria: a relaxed Pr2ZnCd crystal (GGA-PBE).

Cell: 5.3769 5.3769 5.3769 Å, 60.00 60.00 60.00°
Closest atoms and distances in Å follow each position.
Sites, in units of the cell vectors:
Pr 0.2500 0.2500 0.2500  4 Cd 3.29, 4 Zn 3.29
Pr 0.7500 0.7500 0.7500  4 Zn 3.29, 4 Cd 3.29
Zn 0.0000 0.0000 0.0000  8 Pr 3.29
Cd 0.5000 0.5000 0.5000  8 Pr 3.29

Output
* calculated volume: 109.9 Å³ per cell
* DFT formation energy: -294 meV per atom
* symmetry: Fm-3m (225)
* ΔE to the lowest computed polymorph: 0.08 eV per formula unit
* M_tot: 0.004 Bohr magnetons per cell

---

# 8
Entry from Alexandria: a relaxed Pr3Zn2Cd2 crystal (GGA-PBE).

Cell: 6.0548 6.0811 8.5000 Å, 109.17 94.87 135.06°
Closest atoms and distances in Å follow each position.
Sites, in units of the cell vectors:
Cd 0.8368 0.4602 0.1463  2 Zn 2.93-2.95, 1 Cd 3.26
Cd 0.1632 0.5398 0.8537  2 Zn 2.93-2.95, 1 Cd 3.26
Pr 0.0000 0.0000 0.0000  2 Zn 2.98
Pr 0.2759 0.0022 0.6390  3 Zn 3.05-3.10
Pr 0.7241 0.9978 0.3610  3 Zn 3.05-3.10
Zn 0.4630 0.2826 0.3713  1 Zn 2.52
Zn 0.5370 0.7174 0.6287  1 Zn 2.52

Output
* calculated volume: 183.7 Å³ per cell
* DFT formation energy: -244 meV per atom
* symmetry: P-1 (2)
* M_tot: 0.000 Bohr magnetons per cell

---

# 9
Entry from Alexandria: a relaxed PrZn4Cd8 crystal (GGA-PBE).

Cell: 5.7123 7.4032 7.4032 Å, 81.44 67.31 67.31°
Closest atoms and distances in Å follow each position.
Sites, in units of the cell vectors:
Zn 0.0000 0.5000 0.0000  8 Cd 2.82-2.96, 2 Zn 2.86
Zn 0.5000 0.5000 0.0000  8 Cd 2.82-2.96, 2 Zn 2.86
Zn 0.5000 0.0000 0.5000  8 Cd 2.82-2.96, 2 Zn 2.86
Zn 0.0000 0.0000 0.5000  8 Cd 2.82-2.96, 2 Zn 2.86
Pr 0.0000 0.0000 0.0000  12 Cd 3.35-3.55, 8 Zn 3.70
Cd 0.2824 0.2176 0.2176  4 Zn 2.82, 6 Cd 2.97-3.12
Cd 0.7176 0.7824 0.7824  4 Zn 2.82, 6 Cd 2.97-3.12
Cd 0.0000 0.3467 0.6533  4 Zn 2.96, 5 Cd 2.96-3.12
Cd 0.0000 0.6533 0.3467  4 Zn 2.96, 5 Cd 2.96-3.12
Cd 0.5000 0.7824 0.2176  4 Zn 2.82, 6 Cd 2.97-3.12
Cd 0.3467 0.6533 0.6533  4 Zn 2.96, 5 Cd 2.96-3.12
Cd 0.6533 0.3467 0.3467  4 Zn 2.96, 5 Cd 2.96-3.12
Cd 0.5000 0.2176 0.7824  4 Zn 2.82, 6 Cd 2.97-3.12

Output
* calculated volume: 266.5 Å³ per cell
* DFT formation energy: -134 meV per atom
* symmetry: I4/mmm (139)
* M_tot: 0.000 Bohr magnetons per cell

---

# 10
Entry from Alexandria: a relaxed Pr2Zn2Cd crystal (GGA-PBE).

Cell: 7.4321 7.4321 9.1162 Å, 90.00 90.00 90.00°
Closest atoms and distances in Å follow each position.
Sites, in units of the cell vectors:
Cd 0.5000 0.5000 0.7499  4 Zn 2.93
Cd 0.0000 0.0000 0.2499  4 Zn 2.93
Cd 0.5000 0.5000 0.2501  4 Zn 2.93
Cd 0.0000 0.0000 0.7501  4 Zn 2.93
Pr 0.1703 0.6703 0.0000  6 Zn 3.12-3.19
Pr 0.6703 0.8297 0.5000  6 Zn 3.12-3.19
Pr 0.8297 0.3297 0.5000  6 Zn 3.12-3.19
Pr 0.3297 0.1703 0.5000  6 Zn 3.12-3.19
Pr 0.1703 0.6703 0.5000  6 Zn 3.12-3.19
Pr 0.6703 0.8297 0.0000  6 Zn 3.12-3.19
Pr 0.3297 0.1703 0.0000  6 Zn 3.12-3.19
Pr 0.8297 0.3297 0.0000  6 Zn 3.12-3.19
Zn 0.6263 0.1263 0.7500  1 Zn 2.66, 2 Cd 2.93
Zn 0.8737 0.6263 0.2500  1 Zn 2.66, 2 Cd 2.93
Zn 0.1263 0.3737 0.2500  1 Zn 2.66, 2 Cd 2.93
Zn 0.6263 0.1263 0.2500  1 Zn 2.66, 2 Cd 2.93
Zn 0.8737 0.6263 0.7500  1 Zn 2.66, 2 Cd 2.93
Zn 0.3737 0.8737 0.7500  1 Zn 2.66, 2 Cd 2.93
Zn 0.3737 0.8737 0.2500  1 Zn 2.66, 2 Cd 2.93
Zn 0.1263 0.3737 0.7500  1 Zn 2.66, 2 Cd 2.93

Output
* calculated volume: 503.5 Å³ per cell
* DFT formation energy: -306 meV per atom
* symmetry: P4/mbm (127)
* ΔE to the lowest computed polymorph: 0.00 eV per formula unit
* M_tot: 0.000 Bohr magnetons per cell

---

# 11
Entry from Alexandria: a relaxed Pr2Zn5Cd3 crystal (GGA-PBE).

Cell: 6.2619 8.9648 8.9648 Å, 74.17 69.56 69.56°
Closest atoms and distances in Å follow each position.
Sites, in units of the cell vectors:
Zn 0.1260 0.0195 0.7285  2 Zn 2.55, 3 Cd 2.58-2.75
Zn 0.9734 0.7766 0.7766  2 Zn 2.55, 2 Cd 2.69
Zn 0.6260 0.7285 0.0195  2 Zn 2.55, 3 Cd 2.58-2.75
Zn 0.0266 0.2234 0.2234  2 Zn 2.55, 2 Cd 2.69
Zn 0.8740 0.9805 0.2715  2 Zn 2.55, 3 Cd 2.58-2.75
Zn 0.3740 0.2715 0.9805  2 Zn 2.55, 3 Cd 2.58-2.75
Zn 0.7500 0.5000 0.5000  4 Cd 2.67
Zn 0.5266 0.2234 0.2234  2 Zn 2.55, 2 Cd 2.69
Zn 0.2500 0.5000 0.5000  4 Cd 2.67
Zn 0.4734 0.7766 0.7766  2 Zn 2.55, 2 Cd 2.69
Pr 0.1244 0.6108 0.1404  10 Zn 3.35-3.57, 6 Cd 3.39-3.63
Pr 0.6244 0.1404 0.6108  10 Zn 3.35-3.57, 6 Cd 3.39-3.63
Pr 0.3756 0.8596 0.3892  10 Zn 3.35-3.57, 6 Cd 3.39-3.63
Pr 0.8756 0.3892 0.8596  10 Zn 3.35-3.57, 6 Cd 3.39-3.63
Cd 0.7500 0.0000 0.0000  6 Zn 2.75-2.87
Cd 0.1371 0.2463 0.4794  5 Zn 2.58-2.69
Cd 0.2500 0.0000 0.0000  6 Zn 2.75-2.87
Cd 0.6371 0.4794 0.2463  5 Zn 2.58-2.69
Cd 0.8629 0.7537 0.5206  5 Zn 2.58-2.69
Cd 0.3629 0.5206 0.7537  5 Zn 2.58-2.69

Output
* calculated volume: 435.3 Å³ per cell
* DFT formation energy: -243 meV per atom
* symmetry: Ibam (72)
* M_tot: 0.000 Bohr magnetons per cell

---

# 12
Entry from Alexandria: a relaxed Pr4Zn2Cd crystal (GGA-PBE).

Cell: 5.2769 5.2769 8.9652 Å, 72.88 72.88 60.00°
Closest atoms and distances in Å follow each position.
Sites, in units of the cell vectors:
Pr 0.8684 0.8684 0.3947  4 Zn 3.13-3.33, 1 Cd 3.33
Pr 0.3839 0.3839 0.8482  4 Zn 3.12-3.25, 3 Cd 3.30
Pr 0.1316 0.1316 0.6053  4 Zn 3.13-3.33, 1 Cd 3.33
Pr 0.6161 0.6161 0.1518  4 Zn 3.12-3.25, 3 Cd 3.30
Zn 0.2553 0.2553 0.2341  8 Pr 3.12-3.33
Zn 0.7447 0.7447 0.7659  8 Pr 3.12-3.33
Cd 0.0000 0.0000 0.0000  8 Pr 3.30-3.33, 6 Zn 3.63

Output
* calculated volume: 203.3 Å³ per cell
* DFT formation energy: -169 meV per atom
* symmetry: R-3m (166)
* ΔE to the lowest computed polymorph: 0.00 eV per formula unit
* M_tot: 0.004 Bohr magnetons per cell

---

Fermi-level density of states for the records above, in order: 2.2; 5.8; 8.0; 4.1; 1.8; 3.7; 4.5; 6.4; 2.0; 5.6; 7.5; 10.8 states/eV/f.u.